No. 1
Crystalline LiAg5Hg4 at its relaxed geometry. Source: Alexandria, functional PBE-GGA.

Output
total moment = 0.00 μB per formula unit
ρ = 11.53 g/cm3
formation enthalpy at 0 K = -24 kJ/mol of formula units
D(E_F) = 0.298 states/eV/atom
ΔE to the lowest computed polymorph = 0.000 eV/atom
V = 194.3 Å³ per cell

a b c (Å): 4.379 5.931 8.053
angles (deg): 104.59 105.78 90.00
Positions (direct):
Hg1 0.092 0.293 0.184
Hg2 0.695 0.098 0.391
Hg3 0.305 0.902 0.609
Hg4 0.908 0.707 0.816
Ag1 0.698 0.597 0.396
Ag2 0.500 0.500 0.000
Ag3 0.101 0.793 0.203
Ag4 0.302 0.403 0.604
Ag5 0.899 0.207 0.797
Li1 0.500 0.000 0.000


No. 2
Crystalline La2Sb3Pt4Pb at its relaxed geometry. Source: Alexandria, functional PBE-GGA.

Output
total moment = 0.00 μB per formula unit
ρ = 11.43 g/cm3
D(E_F) = 0.487 states/eV/atom
V = 236.8 Å³ per cell
formation energy (no corrections) = -0.833 eV per atom

a b c (Å): 4.642 4.642 10.990
angles (deg): 90.00 90.00 90.00
Positions (direct):
Sb1 0.000 0.000 0.500
Sb2 0.500 0.000 0.874
Sb3 0.000 0.500 0.126
La1 0.000 0.500 0.769
La2 0.500 0.000 0.231
Pt1 0.000 0.500 0.361
Pt2 0.500 0.500 0.000
Pt3 0.500 0.000 0.639
Pt4 0.000 0.000 0.000
Pb1 0.500 0.500 0.500


No. 3
Crystalline Tb2Ga3Hg at its relaxed geometry. Source: Alexandria, functional PBE-GGA.

Output
total moment = 0.00 μB per formula unit
ρ = 9.28 g/cm3
formation enthalpy at 0 K = -324 kJ/mol of formula units
D(E_F) = 0.519 states/eV/atom
ΔE to the lowest computed polymorph = 0.000 eV/atom
V = 260.5 Å³ per cell

a b c (Å): 5.836 5.836 8.634
angles (deg): 105.68 105.68 101.57
Positions (direct):
Tb1 0.250 0.750 0.500
Tb2 0.750 0.250 0.500
Tb3 0.251 0.251 0.000
Tb4 0.749 0.749 0.000
Hg1 0.667 0.667 0.334
Hg2 0.333 0.333 0.666
Ga1 0.838 0.838 0.676
Ga2 0.838 0.325 0.163
Ga3 0.325 0.838 0.163
Ga4 0.162 0.162 0.324
Ga5 0.675 0.162 0.837
Ga6 0.162 0.675 0.837


No. 4
Crystalline Li6MgCd10 at its relaxed geometry. Source: Alexandria, functional PBE-GGA.

Output
total moment = 0.00 μB per formula unit
ρ = 5.85 g/cm3
formation enthalpy at 0 K = -280 kJ/mol of formula units
D(E_F) = 0.254 states/eV/atom
V = 337.6 Å³ per cell

a b c (Å): 5.933 8.106 8.106
angles (deg): 120.00 90.00 90.00
Positions (direct):
Cd1 0.173 0.289 0.289
Cd2 0.827 0.289 0.000
Cd3 0.173 0.711 0.000
Cd4 0.000 0.667 0.333
Cd5 0.827 0.000 0.289
Cd6 0.173 0.000 0.711
Cd7 0.500 0.667 0.333
Cd8 0.500 0.333 0.667
Cd9 0.000 0.333 0.667
Cd10 0.827 0.711 0.711
Li1 0.319 0.000 0.360
Li2 0.319 0.640 0.640
Li3 0.681 0.000 0.640
Li4 0.681 0.640 0.000
Li5 0.319 0.360 0.000
Li6 0.681 0.360 0.360
Mg1 0.500 0.000 0.000


No. 5
Crystalline ScTl2Os at its relaxed geometry. Source: Alexandria, functional PBE-GGA.

Output
total moment = 0.00 μB per formula unit
ρ = 12.98 g/cm3
formation enthalpy at 0 K = 120 kJ/mol of formula units
D(E_F) = 0.730 states/eV/atom
ΔE to the lowest computed polymorph = 0.164 eV/atom
V = 82.4 Å³ per cell

a b c (Å): 5.127 5.127 5.119
angles (deg): 77.93 77.93 38.89
Positions (direct):
Os1 0.750 0.750 0.750
Sc1 0.250 0.250 0.250
Tl1 0.490 0.490 0.514
Tl2 0.010 0.010 0.986


No. 6
Crystalline W2SeCl at its relaxed geometry. Source: Alexandria, functional PBE-GGA.

Output
total moment = 0.00 μB per formula unit
ρ = 11.07 g/cm3
D(E_F) = 0.482 states/eV/atom
ΔE to the lowest computed polymorph = 0.918 eV/atom
V = 72.3 Å³ per cell
formation energy (no corrections) = 0.888 eV per atom

a b c (Å): 3.308 3.308 6.609
angles (deg): 90.00 90.00 90.00
Positions (direct):
W1 0.000 0.000 0.933
W2 0.000 0.000 0.567
Se1 0.500 0.500 0.750
Cl1 0.500 0.500 0.250


No. 7
Crystalline ReNiOs2 at its relaxed geometry. Source: Alexandria, functional PBE-GGA.

Output
total moment = 0.00 μB per formula unit
ρ = 18.77 g/cm3
formation enthalpy at 0 K = 42 kJ/mol of formula units
D(E_F) = 0.841 states/eV/atom
ΔE to the lowest computed polymorph = 0.006 eV/atom
V = 55.3 Å³ per cell

a b c (Å): 4.635 4.635 4.682
angles (deg): 80.88 80.88 33.92
Positions (direct):
Os1 0.497 0.497 0.493
Os2 0.003 0.003 0.007
Re1 0.750 0.750 0.750
Ni1 0.250 0.250 0.250


No. 8
Crystalline PrCd2SnPd4 at its relaxed geometry. Source: Alexandria, functional PBE-GGA.

Output
total moment = 0.00 μB per formula unit
ρ = 9.75 g/cm3
formation enthalpy at 0 K = -418 kJ/mol of formula units
D(E_F) = 0.308 states/eV/atom
V = 155.0 Å³ per cell

a b c (Å): 4.827 4.827 8.171
angles (deg): 72.82 72.82 60.00
Positions (direct):
Cd1 0.746 0.746 0.761
Cd2 0.254 0.254 0.239
Pd1 0.132 0.132 0.604
Pd2 0.616 0.616 0.152
Pd3 0.384 0.384 0.848
Pd4 0.868 0.868 0.396
Pr1 0.000 0.000 0.000
Sn1 0.500 0.500 0.500


No. 9
Crystalline K2BeAl at its relaxed geometry. Source: Alexandria, functional PBE-GGA.

Output
total moment = 0.00 μB per formula unit
ρ = 1.50 g/cm3
formation enthalpy at 0 K = 191 kJ/mol of formula units
D(E_F) = 0.427 states/eV/atom
ΔE to the lowest computed polymorph = 0.096 eV/atom
V = 126.7 Å³ per cell

a b c (Å): 3.207 3.883 10.175
angles (deg): 90.00 90.00 90.00
Positions (direct):
K1 0.500 0.500 0.327
K2 0.000 0.000 0.925
Al1 0.000 0.000 0.599
Be1 0.500 0.500 0.649


No. 10
Crystalline FeCoMo2 at its relaxed geometry. Source: Alexandria, functional PBE-GGA.

Output
total moment = 3.76 μB per formula unit
ρ = 9.27 g/cm3
formation enthalpy at 0 K = 65 kJ/mol of formula units
D(E_F) = 1.148 states/eV/atom
ΔE to the lowest computed polymorph = 0.082 eV/atom
V = 54.9 Å³ per cell

a b c (Å): 4.956 4.956 4.956
angles (deg): 143.09 130.49 63.33
Site moments in Bohr magnetons follow the coordinates.
Positions (direct):
Fe1 0.250 0.750 0.500  2.38
Mo1 0.003 0.003 0.000  -0.02
Mo2 0.497 0.497 0.000  -0.02
Co1 0.750 0.250 0.500  1.45


No. 11
Crystalline Na3AlRh at its relaxed geometry. Source: Alexandria, functional PBE-GGA.

Output
total moment = 0.78 μB per formula unit
ρ = 2.05 g/cm3
formation enthalpy at 0 K = 521 kJ/mol of formula units
D(E_F) = 1.068 states/eV/atom
ΔE to the lowest computed polymorph = 0.352 eV/atom
V = 161.1 Å³ per cell

a b c (Å): 5.442 5.442 5.442
angles (deg): 90.00 90.00 90.00
Site moments in Bohr magnetons follow the coordinates.
Positions (direct):
Na1 0.500 0.000 0.000  0.00
Na2 0.000 0.500 0.000  0.00
Na3 0.000 0.000 0.500  -0.01
Rh1 0.500 0.500 0.500  0.79
Al1 0.000 0.000 0.000  0.00


No. 12
Crystalline PuGe2Rh at its relaxed geometry. Source: Alexandria, functional PBE-GGA.

Output
total moment = 5.47 μB per formula unit
ρ = 11.47 g/cm3
formation enthalpy at 0 K = -169 kJ/mol of formula units
D(E_F) = 1.157 states/eV/atom
V = 71.3 Å³ per cell

a b c (Å): 3.169 3.169 7.098
angles (deg): 90.00 90.00 90.00
Site moments in Bohr magnetons follow the coordinates.
Positions (direct):
Rh1 0.500 0.500 0.000  -0.16
Pu1 0.500 0.500 0.500  5.45
Ge1 0.000 0.000 0.795  -0.03
Ge2 0.000 0.000 0.205  -0.03


No. 13
Crystalline Sm6Ho16Tm7 at its relaxed geometry. Source: Alexandria, functional PBE-GGA.

Output
total moment = 6.91 μB per formula unit
ρ = 8.18 g/cm3
formation enthalpy at 0 K = 665 kJ/mol of formula units
D(E_F) = 1.708 states/eV/atom
V = 958.4 Å³ per cell

a b c (Å): 11.067 11.067 11.067
angles (deg): 60.00 60.00 60.00
Site moments in Bohr magnetons follow the coordinates.
Positions (direct):
Ho1 0.878 0.366 0.878  0.10
Ho2 0.654 0.654 0.654  0.20
Ho3 0.346 0.962 0.346  0.20
Ho4 0.962 0.346 0.346  0.20
Ho5 0.038 0.654 0.654  0.20
Ho6 0.122 0.122 0.634  0.10
Ho7 0.122 0.634 0.122  0.10
Ho8 0.878 0.878 0.366  0.10
Ho9 0.654 0.038 0.654  0.20
Ho10 0.346 0.346 0.346  0.20
Ho11 0.634 0.122 0.122  0.10
Ho12 0.122 0.122 0.122  0.10
Ho13 0.346 0.346 0.962  0.20
Ho14 0.878 0.878 0.878  0.10
Ho15 0.366 0.878 0.878  0.10
Ho16 0.654 0.654 0.038  0.20
Sm1 0.716 0.716 0.284  0.21
Sm2 0.284 0.716 0.284  0.21
Sm3 0.716 0.284 0.716  0.21
Sm4 0.284 0.716 0.716  0.21
Sm5 0.716 0.284 0.284  0.21
Sm6 0.284 0.284 0.716  0.21
Tm1 0.000 0.000 0.000  0.01
Tm2 0.500 0.000 0.000  0.08
Tm3 0.000 0.000 0.500  0.08
Tm4 0.500 0.500 0.000  0.08
Tm5 0.000 0.500 0.500  0.08
Tm6 0.000 0.500 0.000  0.08
Tm7 0.500 0.000 0.500  0.08


No. 14
Crystalline Zn2Ag at its relaxed geometry. Source: Alexandria, functional PBE-GGA.

Output
total moment = 0.00 μB per formula unit
ρ = 8.38 g/cm3
formation enthalpy at 0 K = -13 kJ/mol of formula units
D(E_F) = 0.216 states/eV/atom
V = 94.6 Å³ per cell

a b c (Å): 5.341 5.341 10.776
angles (deg): 140.70 140.70 31.11
Positions (direct):
Zn1 0.333 0.333 0.666
Zn2 0.445 0.445 0.390
Zn3 0.005 0.005 0.000
Zn4 0.773 0.773 0.056
Ag1 0.120 0.120 0.730
Ag2 0.658 0.658 0.326


No. 15
Crystalline TiNiMoAu2 at its relaxed geometry. Source: Alexandria, functional PBE-GGA.

Output
total moment = 2.61 μB per formula unit
ρ = 10.41 g/cm3
formation enthalpy at 0 K = 386 kJ/mol of formula units
D(E_F) = 0.898 states/eV/atom
V = 95.1 Å³ per cell

a b c (Å): 4.745 4.225 4.745
angles (deg): 90.00 90.00 90.00
Site moments in Bohr magnetons follow the coordinates.
Positions (direct):
Au1 0.000 0.000 0.500  0.00
Au2 0.500 0.000 0.000  0.04
Ni1 0.000 0.000 0.000  0.12
Ti1 0.000 0.500 0.000  -0.59
Mo1 0.500 0.500 0.500  2.67


No. 16
Crystalline ZnOs2Se at its relaxed geometry. Source: Alexandria, functional PBE-GGA.

Output
total moment = 0.00 μB per formula unit
ρ = 14.23 g/cm3
D(E_F) = 0.922 states/eV/atom
ΔE to the lowest computed polymorph = 0.416 eV/atom
V = 61.2 Å³ per cell
formation energy (no corrections) = 0.734 eV per atom

a b c (Å): 2.779 2.779 9.095
angles (deg): 90.00 90.00 119.36
Positions (direct):
Os1 0.000 0.000 0.507
Os2 0.000 0.000 0.993
Se1 0.500 0.500 0.250
Zn1 0.500 0.500 0.750


No. 17
Crystalline CrRu2Au2 at its relaxed geometry. Source: Alexandria, functional PBE-GGA.

Output
total moment = 0.17 μB per formula unit
ρ = 12.63 g/cm3
formation enthalpy at 0 K = 426 kJ/mol of formula units
D(E_F) = 1.317 states/eV/atom
ΔE to the lowest computed polymorph = 0.000 eV/atom
V = 85.2 Å³ per cell

a b c (Å): 3.461 3.461 7.523
angles (deg): 76.70 76.70 90.00
Site moments in Bohr magnetons follow the coordinates.
Positions (direct):
Au1 0.404 0.404 0.191  0.01
Au2 0.596 0.596 0.809  0.01
Cr1 0.000 0.000 0.000  0.07
Ru1 0.250 0.750 0.500  -0.12
Ru2 0.750 0.250 0.500  -0.12


No. 18
Crystalline Co3AsCl at its relaxed geometry. Source: Alexandria, functional PBE-GGA.

Output
total moment = 6.99 μB per formula unit
ρ = 4.98 g/cm3
D(E_F) = 1.735 states/eV/atom
ΔE to the lowest computed polymorph = 0.000 eV/atom
V = 95.8 Å³ per cell
formation energy (no corrections) = 0.788 eV per atom

a b c (Å): 4.576 4.576 4.576
angles (deg): 90.00 90.00 90.00
Site moments in Bohr magnetons follow the coordinates.
Positions (direct):
Cl1 0.500 0.500 0.500  0.26
Co1 0.000 0.000 0.500  1.78
Co2 0.000 0.500 0.000  2.23
Co3 0.500 0.000 0.000  2.45
As1 0.000 0.000 0.000  0.08


No. 19
Crystalline UInH at its relaxed geometry. Source: Alexandria, functional PBE-GGA.

Output
total moment = 0.48 μB per formula unit
ρ = 11.68 g/cm3
D(E_F) = 1.439 states/eV/atom
ΔE to the lowest computed polymorph = 0.023 eV/atom
V = 100.6 Å³ per cell

a b c (Å): 3.692 5.984 5.917
angles (deg): 112.16 108.15 107.99
Site moments in Bohr magnetons follow the coordinates.
Positions (direct):
In1 0.943 0.694 0.405  -0.01
In2 0.458 0.468 0.661  0.00
U1 0.452 0.981 0.135  0.54
U2 0.952 0.157 0.959  0.41
H1 0.440 0.248 0.844  0.00
H2 0.706 0.076 0.547  0.00


No. 20
Crystalline HoPdPt4 at its relaxed geometry. Source: Alexandria, functional PBE-GGA.

Output
total moment = 0.00 μB per formula unit
ρ = 16.41 g/cm3
formation enthalpy at 0 K = -401 kJ/mol of formula units
D(E_F) = 0.715 states/eV/atom
ΔE to the lowest computed polymorph = 0.000 eV/atom
V = 106.4 Å³ per cell

a b c (Å): 5.319 5.319 5.319
angles (deg): 60.00 60.00 60.00
Positions (direct):
Pt1 0.124 0.625 0.625
Pt2 0.625 0.625 0.124
Pt3 0.625 0.625 0.625
Pt4 0.625 0.124 0.625
Ho1 0.250 0.250 0.250
Pd1 0.000 0.000 0.000


No. 21
Crystalline DyTmBiSb at its relaxed geometry. Source: Alexandria, functional PBE-GGA.

Output
total moment = 0.00 μB per formula unit
ρ = 9.09 g/cm3
D(E_F) = 0.143 states/eV/atom
V = 121.0 Å³ per cell
formation energy (no corrections) = -0.954 eV per atom

a b c (Å): 4.405 4.408 6.229
angles (deg): 90.02 90.00 90.00
Positions (direct):
Sb1 0.500 0.392 0.593
Bi1 0.000 0.891 0.092
Tm1 0.000 0.892 0.592
Dy1 0.500 0.391 0.093


No. 22
Crystalline Pr4Sm7Tm at its relaxed geometry. Source: Alexandria, functional PBE-GGA.

Output
total moment = 0.00 μB per formula unit
ρ = 6.97 g/cm3
formation enthalpy at 0 K = 291 kJ/mol of formula units
D(E_F) = 1.635 states/eV/atom
ΔE to the lowest computed polymorph = 0.166 eV/atom
V = 425.2 Å³ per cell

a b c (Å): 6.070 11.890 6.808
angles (deg): 83.86 63.52 75.21
Positions (direct):
Sm1 0.788 0.923 0.501
Sm2 0.500 0.000 0.000
Sm3 0.632 0.504 0.232
Sm4 0.930 0.309 0.831
Sm5 0.070 0.691 0.169
Sm6 0.212 0.077 0.499
Sm7 0.368 0.496 0.768
Tm1 0.000 0.000 0.000
Pr1 0.358 0.778 0.507
Pr2 0.221 0.334 0.225
Pr3 0.779 0.666 0.775
Pr4 0.642 0.222 0.493


No. 23
Crystalline PtRhN at its relaxed geometry. Source: Alexandria, functional PBE-GGA.

Output
total moment = 0.00 μB per formula unit
ρ = 13.00 g/cm3
D(E_F) = 0.908 states/eV/atom
ΔE to the lowest computed polymorph = 0.090 eV/atom
V = 159.4 Å³ per cell
formation energy (no corrections) = 0.263 eV per atom

a b c (Å): 2.785 3.016 18.976
angles (deg): 90.00 90.00 90.00
Positions (direct):
N1 0.000 0.500 0.472
N2 0.000 0.500 0.408
N3 0.500 0.000 0.972
N4 0.500 0.000 0.908
Pt1 0.500 0.500 0.239
Pt2 0.500 0.500 0.044
Pt3 0.000 0.000 0.739
Pt4 0.000 0.000 0.544
Rh1 0.500 0.500 0.643
Rh2 0.500 0.500 0.839
Rh3 0.000 0.000 0.339
Rh4 0.000 0.000 0.143


No. 24
Crystalline La6AgAu at its relaxed geometry. Source: Alexandria, functional PBE-GGA.

Output
total moment = 0.00 μB per formula unit
ρ = 6.30 g/cm3
formation enthalpy at 0 K = -23 kJ/mol of formula units
D(E_F) = 1.424 states/eV/atom
ΔE to the lowest computed polymorph = 0.217 eV/atom
V = 299.9 Å³ per cell

a b c (Å): 6.861 6.871 8.341
angles (deg): 65.60 65.98 59.97
Positions (direct):
La1 0.784 0.048 0.730
La2 0.564 0.218 0.270
La3 0.216 0.952 0.270
La4 0.436 0.782 0.730
La5 0.051 0.436 0.730
La6 0.949 0.564 0.270
Au1 0.000 0.000 0.000
Ag1 0.500 0.500 0.500


No. 25
Crystalline CeHoTl2 at its relaxed geometry. Source: Alexandria, functional PBE-GGA.

Output
total moment = 1.07 μB per formula unit
ρ = 10.64 g/cm3
formation enthalpy at 0 K = -110 kJ/mol of formula units
D(E_F) = 1.950 states/eV/atom
V = 111.4 Å³ per cell

a b c (Å): 3.551 3.551 8.838
angles (deg): 90.00 90.00 90.00
Site moments in Bohr magnetons follow the coordinates.
Positions (direct):
Ho1 0.500 0.500 0.000  -0.15
Tl1 0.000 0.000 0.758  -0.01
Tl2 0.000 0.000 0.242  -0.01
Ce1 0.500 0.500 0.500  0.95